Cd2RuPt, optimized geometry, DFT PBE-GGA; DOS at the Fermi energy = 2.8 states/eV/cell; symmetry = R-3m; DFT total energy = -16.68 eV per cell
1.0
9.438 0.004 0.002
8.985 2.889 0.002
8.985 1.411 2.521
Cd Pt Ru
2 1 1
direct
0.499 0.499 0.499
0.001 0.001 0.001
0.250 0.250 0.250
0.750 0.750 0.750